[1]
First-principles (PBE) data for a geometry-optimized GdHoFe4 structure, as listed in Alexandria.

Lattice parameters (Å, degrees): 5.1397 5.1397 5.1397 60.00 60.00 60.00
Last column: nearest neighbours and their distance in Å.
Atoms (fractional coordinates):
1 Gd 0.0000 0.0000 0.0000  12 Fe 3.01, 4 Ho 3.15
2 Ho 0.7500 0.7500 0.7500  12 Fe 3.01, 4 Gd 3.15
3 Fe 0.3749 0.3749 0.3749  6 Fe 2.57
4 Fe 0.3749 0.3749 0.8752  6 Fe 2.57
5 Fe 0.3749 0.8752 0.3749  6 Fe 2.57
6 Fe 0.8752 0.3749 0.3749  6 Fe 2.57

Its energy of formation from the pure elements is -0.041 eV per atom. As for the crystal system: cubic. For the raw total energy, the calculation gives -8.792 eV/atom. Its space-group type is No. 216.

***

[2]
First-principles (PBE) data for a geometry-optimized Gd2HoFe structure, as listed in Alexandria.

Lattice parameters (Å, degrees): 10.7182 10.7182 10.7182 18.63 18.63 18.63
Last column: nearest neighbours and their distance in Å.
Atoms (fractional coordinates):
1 Gd 0.1079 0.1079 0.1079  3 Fe 2.73
2 Gd 0.8921 0.8921 0.8921  3 Fe 2.73
3 Ho 0.0000 0.0000 0.0000  2 Gd 3.41, 6 Ho 3.47
4 Fe 0.5000 0.5000 0.5000  6 Gd 2.73

Its energy of formation from the pure elements is 0.372 eV per atom. As for the crystal system: trigonal. For the raw total energy, the calculation gives -9.928 eV/atom. Its space-group type is No. 166.

***

[3]
First-principles (PBE) data for a geometry-optimized Gd2HoFe structure, as listed in Alexandria.

Lattice parameters (Å, degrees): 3.4675 3.4675 8.6852 90.00 90.00 90.00
Last column: nearest neighbours and their distance in Å.
Atoms (fractional coordinates):
1 Gd 0.0000 0.0000 0.1892  4 Fe 2.95, 1 Gd 3.29
2 Gd 0.0000 0.0000 0.8108  4 Fe 2.95, 1 Gd 3.29
3 Ho 0.5000 0.5000 0.5000  4 Ho 3.47, 8 Gd 3.65
4 Fe 0.5000 0.5000 0.0000  8 Gd 2.95

Its energy of formation from the pure elements is 0.094 eV per atom. As for the crystal system: tetragonal. For the raw total energy, the calculation gives -10.206 eV/atom. Its space-group type is No. 123.

***

[4]
First-principles (PBE) data for a geometry-optimized GdHoFe structure, as listed in Alexandria.

Lattice parameters (Å, degrees): 6.8038 6.8038 6.8038 151.33 151.33 41.00
Last column: nearest neighbours and their distance in Å.
Atoms (fractional coordinates):
1 Gd 0.0000 0.0000 0.0000  4 Fe 2.89, 1 Ho 3.22
2 Ho 0.2529 0.2529 0.0000  4 Fe 2.86
3 Fe 0.6281 0.6281 0.0000  4 Ho 2.86, 4 Gd 2.89

Its energy of formation from the pure elements is 0.049 eV per atom. As for the crystal system: tetragonal. For the raw total energy, the calculation gives -8.992 eV/atom. Its space-group type is No. 107.

***

[5]
First-principles (PBE) data for a geometry-optimized Gd3HoFe structure, as listed in Alexandria.

Lattice parameters (Å, degrees): 5.2959 5.2959 5.2959 90.00 90.00 90.00
Last column: nearest neighbours and their distance in Å.
Atoms (fractional coordinates):
1 Gd 0.0000 0.0000 0.5000  2 Fe 2.65
2 Gd 0.0000 0.5000 0.0000  2 Fe 2.65
3 Gd 0.5000 0.0000 0.0000  2 Fe 2.65
4 Ho 0.5000 0.5000 0.5000  12 Gd 3.74
5 Fe 0.0000 0.0000 0.0000  6 Gd 2.65

Its energy of formation from the pure elements is 0.117 eV per atom. As for the crystal system: cubic. For the raw total energy, the calculation gives -10.939 eV/atom. Its space-group type is No. 221.

***

[6]
First-principles (PBE) data for a geometry-optimized LiGdHoFe structure, as listed in Alexandria.

Lattice parameters (Å, degrees): 4.8739 4.8739 4.8739 60.00 60.00 60.00
Last column: nearest neighbours and their distance in Å.
Atoms (fractional coordinates):
1 Li 0.0000 0.0000 0.0000  4 Gd 2.98, 4 Ho 2.98
2 Gd 0.2500 0.2500 0.2500  4 Fe 2.98, 4 Li 2.98
3 Ho 0.7500 0.7500 0.7500  4 Fe 2.98, 4 Li 2.98
4 Fe 0.5000 0.5000 0.5000  4 Ho 2.98, 4 Gd 2.98

Its energy of formation from the pure elements is 0.087 eV per atom. As for the crystal system: cubic. For the raw total energy, the calculation gives -7.172 eV/atom. Its space-group type is No. 216.

***

[7]
First-principles (PBE) data for a geometry-optimized GdHoFeNi structure, as listed in Alexandria.

Lattice parameters (Å, degrees): 4.7600 4.7600 4.7600 60.00 60.00 60.00
Last column: nearest neighbours and their distance in Å.
Atoms (fractional coordinates):
1 Gd 0.0000 0.0000 0.0000  4 Fe 2.91, 4 Ni 2.91
2 Ho 0.5000 0.5000 0.5000  4 Fe 2.91, 4 Ni 2.91
3 Fe 0.7500 0.7500 0.7500  4 Gd 2.91, 4 Ho 2.91
4 Ni 0.2500 0.2500 0.2500  4 Gd 2.91, 4 Ho 2.91

Its energy of formation from the pure elements is -0.078 eV per atom. As for the crystal system: cubic. For the raw total energy, the calculation gives -8.303 eV/atom. Its space-group type is No. 216.

***

[8]
First-principles (PBE) data for a geometry-optimized GdHoFeOs structure, as listed in Alexandria.

Lattice parameters (Å, degrees): 4.8432 4.8432 4.8432 60.00 60.00 60.00
Last column: nearest neighbours and their distance in Å.
Atoms (fractional coordinates):
1 Gd 0.0000 0.0000 0.0000  4 Os 2.97, 4 Fe 2.97
2 Ho 0.5000 0.5000 0.5000  4 Os 2.97, 4 Fe 2.97
3 Fe 0.2500 0.2500 0.2500  4 Ho 2.97, 4 Gd 2.97
4 Os 0.7500 0.7500 0.7500  4 Gd 2.97, 4 Ho 2.97

Its energy of formation from the pure elements is 0.063 eV per atom. As for the crystal system: cubic. For the raw total energy, the calculation gives -9.525 eV/atom. Its space-group type is No. 216.

***

[9]
First-principles (PBE) data for a geometry-optimized GdHoFePd structure, as listed in Alexandria.

Lattice parameters (Å, degrees): 4.8754 4.8754 4.8754 60.00 60.00 60.00
Last column: nearest neighbours and their distance in Å.
Atoms (fractional coordinates):
1 Gd 0.0000 0.0000 0.0000  4 Fe 2.99, 4 Pd 2.99
2 Ho 0.5000 0.5000 0.5000  4 Pd 2.99, 4 Fe 2.99
3 Fe 0.2500 0.2500 0.2500  4 Gd 2.99, 4 Ho 2.99
4 Pd 0.7500 0.7500 0.7500  4 Ho 2.99, 4 Gd 2.99

Its energy of formation from the pure elements is -0.306 eV per atom. As for the crystal system: cubic. For the raw total energy, the calculation gives -8.385 eV/atom. Its space-group type is No. 216.

***

[10]
First-principles (PBE) data for a geometry-optimized GdHoFeRh structure, as listed in Alexandria.

Lattice parameters (Å, degrees): 4.8385 4.8385 4.8385 60.00 60.00 60.00
Last column: nearest neighbours and their distance in Å.
Atoms (fractional coordinates):
1 Gd 0.0000 0.0000 0.0000  4 Fe 2.96, 4 Rh 2.96
2 Ho 0.5000 0.5000 0.5000  4 Fe 2.96, 4 Rh 2.96
3 Fe 0.7500 0.7500 0.7500  4 Gd 2.96, 4 Ho 2.96
4 Rh 0.2500 0.2500 0.2500  4 Ho 2.96, 4 Gd 2.96

Its energy of formation from the pure elements is -0.297 eV per atom. As for the crystal system: cubic. For the raw total energy, the calculation gives -8.915 eV/atom. Its space-group type is No. 216.

***

[11]
First-principles (PBE) data for a geometry-optimized Gd2InFe structure, as listed in Alexandria.

Lattice parameters (Å, degrees): 3.4552 3.4552 8.0072 90.00 90.00 90.00
Last column: nearest neighbours and their distance in Å.
Atoms (fractional coordinates):
1 Gd 0.0000 0.0000 0.2096  4 Fe 2.96
2 Gd 0.0000 0.0000 0.7904  4 Fe 2.96
3 In 0.5000 0.5000 0.5000  8 Gd 3.37, 4 In 3.46
4 Fe 0.5000 0.5000 0.0000  8 Gd 2.96

Its energy of formation from the pure elements is -0.178 eV per atom. As for the crystal system: tetragonal. For the raw total energy, the calculation gives -10.019 eV/atom. Its space-group type is No. 123.

***

[12]
First-principles (PBE) data for a geometry-optimized Gd2InFe structure, as listed in Alexandria.

Lattice parameters (Å, degrees): 10.3333 10.3333 10.3333 20.01 20.01 20.01
Last column: nearest neighbours and their distance in Å.
Atoms (fractional coordinates):
1 Gd 0.1087 0.1087 0.1087  3 Fe 2.72
2 Gd 0.8913 0.8913 0.8913  3 Fe 2.72
3 In 0.0000 0.0000 0.0000  2 Gd 3.30, 6 In 3.59
4 Fe 0.5000 0.5000 0.5000  6 Gd 2.72

Its energy of formation from the pure elements is 0.205 eV per atom. As for the crystal system: trigonal. For the raw total energy, the calculation gives -9.636 eV/atom. Its space-group type is No. 166.

***

[13]
First-principles (PBE) data for a geometry-optimized GdInFe4 structure, as listed in Alexandria.

Lattice parameters (Å, degrees): 5.0725 5.0725 5.0725 60.00 60.00 60.00
Last column: nearest neighbours and their distance in Å.
Atoms (fractional coordinates):
1 Gd 0.0000 0.0000 0.0000  12 Fe 2.98, 4 In 3.11
2 In 0.2500 0.2500 0.2500  12 Fe 2.97, 4 Gd 3.11
3 Fe 0.1266 0.6245 0.6245  6 Fe 2.53-2.55
4 Fe 0.6245 0.1266 0.6245  6 Fe 2.53-2.55
5 Fe 0.6245 0.6245 0.1266  6 Fe 2.53-2.55
6 Fe 0.6245 0.6245 0.6245  6 Fe 2.53-2.55

Its energy of formation from the pure elements is -0.055 eV per atom. As for the crystal system: cubic. For the raw total energy, the calculation gives -8.500 eV/atom. Its space-group type is No. 216.

***

[14]
First-principles (PBE) data for a geometry-optimized Gd2FeIr structure, as listed in Alexandria.

Lattice parameters (Å, degrees): 4.8657 4.8657 4.8657 60.00 60.00 60.00
Last column: nearest neighbours and their distance in Å.
Atoms (fractional coordinates):
1 Gd 0.2500 0.2500 0.2500  4 Fe 2.98, 4 Ir 2.98
2 Gd 0.7500 0.7500 0.7500  4 Fe 2.98, 4 Ir 2.98
3 Fe 0.0000 0.0000 0.0000  8 Gd 2.98
4 Ir 0.5000 0.5000 0.5000  8 Gd 2.98

Its energy of formation from the pure elements is -0.244 eV per atom. As for the crystal system: cubic. For the raw total energy, the calculation gives -11.615 eV/atom. Its space-group type is No. 225.

***

[15]
First-principles (PBE) data for a geometry-optimized Gd2FeIr structure, as listed in Alexandria.

Lattice parameters (Å, degrees): 4.8612 4.8612 3.4811 90.00 90.00 90.00
Last column: nearest neighbours and their distance in Å.
Atoms (fractional coordinates):
1 Gd 0.0000 0.5000 0.0000  4 Fe 2.99, 4 Ir 2.99
2 Gd 0.5000 0.0000 0.0000  4 Fe 2.99, 4 Ir 2.99
3 Fe 0.0000 0.0000 0.5000  8 Gd 2.99
4 Ir 0.5000 0.5000 0.5000  8 Gd 2.99

Its energy of formation from the pure elements is -0.292 eV per atom. As for the crystal system: tetragonal. For the raw total energy, the calculation gives -11.663 eV/atom. Its space-group type is No. 123.

***

[16]
First-principles (PBE) data for a geometry-optimized GdFe4Ir structure, as listed in Alexandria.

Lattice parameters (Å, degrees): 4.9885 4.9885 4.9885 60.00 60.00 60.00
Last column: nearest neighbours and their distance in Å.
Atoms (fractional coordinates):
1 Gd 0.0000 0.0000 0.0000  12 Fe 2.93, 4 Ir 3.05
2 Fe 0.3756 0.3756 0.3756  6 Fe 2.48-2.51
3 Fe 0.3756 0.3756 0.8731  6 Fe 2.48-2.51
4 Fe 0.3756 0.8731 0.3756  6 Fe 2.48-2.51
5 Fe 0.8731 0.3756 0.3756  6 Fe 2.48-2.51
6 Ir 0.7500 0.7500 0.7500  12 Fe 2.92, 4 Gd 3.05

Its energy of formation from the pure elements is -0.019 eV per atom. As for the crystal system: cubic. For the raw total energy, the calculation gives -9.484 eV/atom. Its space-group type is No. 216.

***

[17]
First-principles (PBE) data for a geometry-optimized GdPaFeIr structure, as listed in Alexandria.

Lattice parameters (Å, degrees): 4.8416 4.8416 4.8416 60.00 60.00 60.00
Last column: nearest neighbours and their distance in Å.
Atoms (fractional coordinates):
1 Gd 0.0000 0.0000 0.0000  4 Fe 2.96, 4 Ir 2.96
2 Pa 0.5000 0.5000 0.5000  4 Fe 2.96, 4 Ir 2.96
3 Fe 0.7500 0.7500 0.7500  4 Gd 2.96, 4 Pa 2.96
4 Ir 0.2500 0.2500 0.2500  4 Pa 2.96, 4 Gd 2.96

Its energy of formation from the pure elements is -0.264 eV per atom. As for the crystal system: cubic. For the raw total energy, the calculation gives -10.489 eV/atom. Its space-group type is No. 216.

***

[18]
First-principles (PBE) data for a geometry-optimized PmGdFeIr structure, as listed in Alexandria.

Lattice parameters (Å, degrees): 4.9182 4.9182 4.9182 60.00 60.00 60.00
Last column: nearest neighbours and their distance in Å.
Atoms (fractional coordinates):
1 Pm 0.0000 0.0000 0.0000  4 Fe 3.01, 4 Ir 3.01
2 Gd 0.5000 0.5000 0.5000  4 Fe 3.01, 4 Ir 3.01
3 Fe 0.2500 0.2500 0.2500  4 Gd 3.01, 4 Pm 3.01
4 Ir 0.7500 0.7500 0.7500  4 Pm 3.01, 4 Gd 3.01

Its energy of formation from the pure elements is -0.225 eV per atom. As for the crystal system: cubic. For the raw total energy, the calculation gives -9.263 eV/atom. Its space-group type is No. 216.

***

[19]
First-principles (PBE) data for a geometry-optimized GdPuFeIr structure, as listed in Alexandria.

Lattice parameters (Å, degrees): 4.8268 4.8268 4.8268 60.00 60.00 60.00
Last column: nearest neighbours and their distance in Å.
Atoms (fractional coordinates):
1 Gd 0.0000 0.0000 0.0000  4 Fe 2.96, 4 Ir 2.96
2 Pu 0.5000 0.5000 0.5000  4 Fe 2.96, 4 Ir 2.96
3 Fe 0.7500 0.7500 0.7500  4 Gd 2.96, 4 Pu 2.96
4 Ir 0.2500 0.2500 0.2500  4 Gd 2.96, 4 Pu 2.96

Its energy of formation from the pure elements is -0.238 eV per atom. As for the crystal system: cubic. For the raw total energy, the calculation gives -11.673 eV/atom. Its space-group type is No. 216.

***

[20]
First-principles (PBE) data for a geometry-optimized GdScFeIr structure, as listed in Alexandria.

Lattice parameters (Å, degrees): 4.6649 4.6649 4.6649 60.00 60.00 60.00
Last column: nearest neighbours and their distance in Å.
Atoms (fractional coordinates):
1 Gd 0.0000 0.0000 0.0000  4 Fe 2.86, 4 Ir 2.86
2 Sc 0.5000 0.5000 0.5000  4 Fe 2.86, 4 Ir 2.86
3 Fe 0.7500 0.7500 0.7500  4 Sc 2.86, 4 Gd 2.86
4 Ir 0.2500 0.2500 0.2500  4 Gd 2.86, 4 Sc 2.86

Its energy of formation from the pure elements is -0.350 eV per atom. As for the crystal system: cubic. For the raw total energy, the calculation gives -9.784 eV/atom. Its space-group type is No. 216.

***

[21]
First-principles (PBE) data for a geometry-optimized GdYFeIr structure, as listed in Alexandria.

Lattice parameters (Å, degrees): 4.8592 4.8592 4.8592 60.00 60.00 60.00
Last column: nearest neighbours and their distance in Å.
Atoms (fractional coordinates):
1 Gd 0.0000 0.0000 0.0000  4 Fe 2.98, 4 Ir 2.98
2 Y 0.5000 0.5000 0.5000  4 Fe 2.98, 4 Ir 2.98
3 Fe 0.7500 0.7500 0.7500  4 Gd 2.98, 4 Y 2.98
4 Ir 0.2500 0.2500 0.2500  4 Gd 2.98, 4 Y 2.98

Its energy of formation from the pure elements is -0.296 eV per atom. As for the crystal system: cubic. For the raw total energy, the calculation gives -9.763 eV/atom. Its space-group type is No. 216.

***

[22]
First-principles (PBE) data for a geometry-optimized GdZrFeIr structure, as listed in Alexandria.

Lattice parameters (Å, degrees): 4.7186 4.7186 4.7186 60.00 60.00 60.00
Last column: nearest neighbours and their distance in Å.
Atoms (fractional coordinates):
1 Gd 0.0000 0.0000 0.0000  4 Fe 2.89, 4 Ir 2.89
2 Zr 0.5000 0.5000 0.5000  4 Fe 2.89, 4 Ir 2.89
3 Fe 0.7500 0.7500 0.7500  4 Gd 2.89, 4 Zr 2.89
4 Ir 0.2500 0.2500 0.2500  4 Zr 2.89, 4 Gd 2.89

Its energy of formation from the pure elements is -0.337 eV per atom. As for the crystal system: cubic. For the raw total energy, the calculation gives -10.325 eV/atom. Its space-group type is No. 216.